1.
A relaxed structure of CdFeIr2, computed with GGA-PBE.

Cell: 2.867 4.723 9.145 Å, 90.00 90.00 90.00°
Element x y z (fractional)
Cd 0.000 0.000 0.000
Cd 0.500 0.500 0.000
Fe 0.000 0.000 0.500
Fe 0.500 0.500 0.500
Ir 0.000 0.500 0.273
Ir 0.000 0.500 0.727
Ir 0.500 0.000 0.273
Ir 0.500 0.000 0.727

Output
- ΔE_f: 0.182 eV per atom
- Energy: -6.59 eV per atom

---

2.
A relaxed structure of GeB3Br, computed with GGA-PBE.

Cell: 4.314 4.314 4.314 Å, 90.00 90.00 90.00°
Element x y z (fractional)
Ge 0.000 0.000 0.000
B 0.000 0.000 0.500
B 0.000 0.500 0.000
B 0.500 0.000 0.000
Br 0.500 0.500 0.500

Output
- Excess energy over the best structure of this formula in the dataset: 0.00 kcal/mol of atoms
- Formation energy without anion corrections: 889 kJ/mol of formula units
- Energy: -3.42 eV per atom

---

> What is the energy in the first record?

-6.59 eV per atom

---

Copy entry 1 word for word.
A relaxed structure of CdFeIr2, computed with GGA-PBE.

Cell: 2.867 4.723 9.145 Å, 90.00 90.00 90.00°
Element x y z (fractional)
Cd 0.000 0.000 0.000
Cd 0.500 0.500 0.000
Fe 0.000 0.000 0.500
Fe 0.500 0.500 0.500
Ir 0.000 0.500 0.273
Ir 0.000 0.500 0.727
Ir 0.500 0.000 0.273
Ir 0.500 0.000 0.727

Output
- ΔE_f: 0.182 eV per atom
- Energy: -6.59 eV per atom